Entry 1:
Computed, not measured: a relaxed Mn6FeOs crystal at the PBE level of DFT.

## Properties
The electronic total energy comes out at -149.2 eV per cell. As for the density of states at the Fermi level: 15.81 states/eV per cell. As for the energy of formation from the pure elements: 0.09 eV/f.u.

a = 7.1679 Å, b = 7.2454 Å, c = 3.6382 Å
α = 90.00°, β = 90.00°, γ = 90.00°
Last column: nearest neighbours and their distance in Å.
Space group Cmmm (No. 65)
One atom of each set of equivalent atoms:
Mn1 0.0000 0.2412 0.0000 (multiplicity 4)  8 Mn 2.48-2.62, 2 Fe 2.52, 2 Os 2.61
Mn2 0.2448 0.0000 0.0000 (multiplicity 4)  8 Mn 2.48-2.62, 2 Fe 2.53, 2 Os 2.58
Mn3 0.2500 0.2500 0.5000 (multiplicity 4)  2 Fe 2.55, 2 Os 2.55, 8 Mn 2.55-2.57
Fe1 0.0000 0.0000 0.5000 (multiplicity 2)  12 Mn 2.52-2.55
Os1 0.0000 0.5000 0.5000 (multiplicity 2)  12 Mn 2.55-2.61

***

Entry 2:
Computed, not measured: a relaxed Nd2SmDy3As6 crystal at the PBE level of DFT.

## Properties
The electronic total energy comes out at -148.4 eV per cell. As for the density of states at the Fermi level: 3.67 states/eV per cell. As for the energy of formation from the pure elements: -18.26 eV/f.u.

a = 18.2426 Å, b = 4.1888 Å, c = 8.3690 Å
α = 90.00°, β = 103.22°, γ = 90.00°
Last column: nearest neighbours and their distance in Å.
Space group C2/m (No. 12)
One atom of each set of equivalent atoms:
Nd1 0.1663 0.0000 0.3327 (multiplicity 4)  6 As 2.99-3.00
Sm1 0.0000 0.5000 0.0000 (multiplicity 2)  6 As 2.98
Dy1 0.0000 0.5000 0.5000 (multiplicity 2)  6 As 2.92-2.94
Dy2 0.1668 0.0000 0.8334 (multiplicity 4)  6 As 2.92-2.94
As1 0.0023 0.0000 0.7473 (multiplicity 4)  3 Dy 2.92-2.94, 2 Sm 2.98, 1 Nd 2.99
As2 0.1646 0.5000 0.5884 (multiplicity 4)  3 Dy 2.92, 3 Nd 3.00
As3 0.1678 0.5000 0.0774 (multiplicity 4)  3 Dy 2.92-2.94, 1 Sm 2.98, 2 Nd 3.00

***

Entry 3:
Computed, not measured: a relaxed Tl2BiO2 crystal at the PBE level of DFT.

## Properties
The electronic total energy comes out at -39.1 eV per cell. As for the density of states at the Fermi level: 4.69 states/eV per cell. The calculation puts the relative energy among the computed polymorphs at 0.0 kJ per mole of atoms. For the formation energy (no corrections), the calculation gives -0.20 eV per atom.

a = 3.9573 Å, b = 3.9573 Å, c = 13.6601 Å
α = 90.00°, β = 90.00°, γ = 90.00°
Last column: nearest neighbours and their distance in Å.
Space group I4/mmm (No. 139)
One atom of each set of equivalent atoms:
Tl1 0.0000 0.0000 0.1635 (multiplicity 4)  4 O 2.30
Bi1 0.0000 0.0000 0.5000 (multiplicity 2)  8 Tl 3.58, 8 O 3.95, 4 Bi 3.96
O1 0.0000 0.5000 0.2500 (multiplicity 4)  4 Tl 2.30

***

Entry 4:
Computed, not measured: a relaxed Zr2TcPt crystal at the PBE level of DFT.

## Properties
The electronic total energy comes out at -36.5 eV per cell. As for the density of states at the Fermi level: 3.46 states/eV per cell. As for the energy of formation from the pure elements: -2.96 eV/f.u.

a = 3.3629 Å, b = 3.3629 Å, c = 6.4820 Å
α = 90.00°, β = 90.00°, γ = 90.00°
Last column: nearest neighbours and their distance in Å.
Space group P4/mmm (No. 123)
One atom of each set of equivalent atoms:
Zr1 0.0000 0.0000 0.2430 (multiplicity 2)  4 Tc 2.85, 4 Pt 2.90, 1 Zr 3.15
Tc1 0.5000 0.5000 0.0000 (multiplicity 1)  8 Zr 2.85
Pt1 0.5000 0.5000 0.5000 (multiplicity 1)  8 Zr 2.90, 2 Tc 3.24